(1)
Below is an optimized crystal structure of FeCo3Rh, with properties calculated at the PBE-GGA level.

ΔE to the lowest computed polymorph: 0 meV/atom
formation energy: 0.088 eV per atom
calculated total energy: -7.34 eV/atom
calculated volume: 12.0 Å³ per atom
D(E_F): 1.282 states/eV per atom
symmetry: No. 11

Geometry as POSCAR:
```
FeCo3Rh
1.0
-1.108 -1.517 -1.795
-2.107 -5.398 5.862
-3.338 6.646 -3.557
Fe Co Rh
2 6 2
direct
0.750 0.193 0.140
0.250 0.807 0.860
0.250 0.571 0.435
0.250 0.819 0.375
0.750 0.429 0.565
0.250 0.054 0.290
0.750 0.946 0.710
0.750 0.181 0.625
0.250 0.356 0.001
0.750 0.644 0.999
```

(2)
Below is an optimized crystal structure of Na2Hf2In, with properties calculated at the PBE-GGA level.

ΔE to the lowest computed polymorph: 0 meV/atom
formation energy: 0.623 eV per atom
calculated total energy: -4.43 eV/atom
calculated volume: 29.6 Å³ per atom
D(E_F): 0.682 states/eV per atom
symmetry: No. 139

Geometry as POSCAR:
```
Na2Hf2In
1.0
3.921 0.000 0.000
0.000 3.921 0.000
1.961 1.961 9.609
Na Hf In
2 2 1
direct
0.599 0.599 0.802
0.401 0.401 0.198
0.750 0.250 0.500
0.250 0.750 0.500
0.000 0.000 0.000
```